# 1
OsRh2: PBEsol geometry, meta-GGA SCAN.

Values from the calculation:
- Formation energy: 0.07 eV per atom
- M_tot: 0.0 μB/f.u.
- Final energy: -1113.751 eV for the cell shown
- Energy relative to the lowest polymorph listed for this composition: 52 meV/atom
- Density: 16.091 g cm⁻³

CIF file:
```
data_OsRh2
_chemical_formula_sum 'Os8 Rh16'
_space_group_name_H-M_alt 'I 41/a m d'
_space_group_IT_number 141
_cell_length_a 3.7971
_cell_length_b 3.7971
_cell_length_c 22.6777
_cell_angle_alpha 90.00
_cell_angle_beta 90.00
_cell_angle_gamma 90.00
loop_
_space_group_symop_operation_xyz
'x,y,z'
'-x,-y,-z'
'-y+1/4,x+3/4,z+1/4'
'y+1/4,-x+3/4,-z+1/4'
'-x+1/2,-y,z+1/2'
'x+1/2,y,-z+1/2'
'y+1/4,-x+1/4,z+3/4'
'-y+1/4,x+1/4,-z+3/4'
'x,-y,-z'
'-x,y,z'
'-y+1/4,-x+1/4,-z+3/4'
'y+1/4,x+1/4,z+3/4'
'-x+1/2,y,-z+1/2'
'x+1/2,-y,z+1/2'
'y+1/4,x+3/4,-z+1/4'
'-y+1/4,-x+3/4,z+1/4'
'x+1/2,y+1/2,z+1/2'
'-x+1/2,-y+1/2,-z+1/2'
'-y+3/4,x+1/4,z+3/4'
'y+3/4,-x+1/4,-z+3/4'
'-x,-y+1/2,z'
'x,y+1/2,-z'
'y+3/4,-x+3/4,z+1/4'
'-y+3/4,x+3/4,-z+1/4'
'x+1/2,-y+1/2,-z+1/2'
'-x+1/2,y+1/2,z+1/2'
'-y+3/4,-x+3/4,-z+1/4'
'y+3/4,x+3/4,z+1/4'
'-x,y+1/2,-z'
'x,-y+1/2,z'
'y+3/4,x+1/4,-z+3/4'
'-y+3/4,-x+1/4,z+3/4'
loop_
_atom_site_label
_atom_site_type_symbol
_atom_site_fract_x
_atom_site_fract_y
_atom_site_fract_z
Os1 Os 0.0000 0.2500 0.2895
Rh1 Rh 0.0000 0.2500 0.1231
Rh2 Rh 0.0000 0.2500 0.7911
```

# 2
CsBeRu3: PBEsol geometry, meta-GGA SCAN.

Values from the calculation:
- Formation energy: 1.48 eV per atom
- M_tot: 3.3 μB/f.u.
- Final energy: -139.245 eV for the cell shown
- Energy relative to the lowest polymorph listed for this composition: 0 meV/atom
- Density: 9.194 g cm⁻³

CIF file:
```
data_CsBeRu3
_chemical_formula_sum 'Cs1 Be1 Ru3'
_space_group_name_H-M_alt 'P m -3 m'
_space_group_IT_number 221
_space_group_name_Hall '-P 4 2 3'
_cell_length_a 4.3160
_cell_length_b 4.3160
_cell_length_c 4.3160
_cell_angle_alpha 90.00
_cell_angle_beta 90.00
_cell_angle_gamma 90.00
loop_
_atom_site_label
_atom_site_type_symbol
_atom_site_fract_x
_atom_site_fract_y
_atom_site_fract_z
Cs1 Cs 0.0000 0.0000 0.0000
Be1 Be 0.5000 0.5000 0.5000
Ru1 Ru 0.0000 0.5000 0.5000
```

# 3
TbAlCu: PBEsol geometry, meta-GGA SCAN.

Values from the calculation:
- Formation energy: -0.51 eV per atom
- M_tot: 0.0 μB/f.u.
- Final energy: -213.753 eV for the cell shown
- Density: 7.451 g cm⁻³

CIF file:
```
data_TbAlCu
_chemical_formula_sum 'Tb3 Al3 Cu3'
_space_group_name_H-M_alt 'P -6 2 m'
_space_group_IT_number 189
_space_group_name_Hall 'P -6 -2'
_cell_length_a 6.9786
_cell_length_b 6.9786
_cell_length_c 3.9546
_cell_angle_alpha 90.00
_cell_angle_beta 90.00
_cell_angle_gamma 120.00
loop_
_atom_site_label
_atom_site_type_symbol
_atom_site_fract_x
_atom_site_fract_y
_atom_site_fract_z
Tb1 Tb 0.0000 0.4159 0.0000
Al1 Al 0.0000 0.7642 0.5000
Cu1 Cu 0.0000 0.0000 0.0000
Cu2 Cu 0.3333 0.6667 0.5000
```

# 4
Cs2HgAuBr6: PBEsol geometry, meta-GGA SCAN.

Values from the calculation:
- ΔE_f (raw): -1.00 eV per atom
- M_tot: 0.0 μB/f.u.
- Final energy: -1358.896 eV for the cell shown
- Density: 5.907 g cm⁻³

CIF file:
```
data_Cs2HgAuBr6
_chemical_formula_sum 'Cs8 Hg4 Au4 Br24'
_space_group_name_H-M_alt 'F m -3 m'
_space_group_IT_number 225
_space_group_name_Hall '-F 4 2 3'
_cell_length_a 10.8717
_cell_length_b 10.8717
_cell_length_c 10.8717
_cell_angle_alpha 90.00
_cell_angle_beta 90.00
_cell_angle_gamma 90.00
loop_
_atom_site_label
_atom_site_type_symbol
_atom_site_fract_x
_atom_site_fract_y
_atom_site_fract_z
Cs1 Cs 0.2500 0.2500 0.2500
Hg1 Hg 0.0000 0.0000 0.0000
Au1 Au 0.0000 0.0000 0.5000
Br1 Br 0.0000 0.0000 0.2559
```

# 5
Ag3SnF: PBEsol geometry, meta-GGA SCAN.

Values from the calculation:
- ΔE_f (raw): 0.48 eV per atom
- M_tot: 0.9 μB/f.u.
- Final energy: -131.173 eV for the cell shown
- Density: 5.640 g cm⁻³

CIF file:
```
data_Ag3SnF
_chemical_formula_sum 'Ag3 Sn1 F1'
_space_group_name_H-M_alt 'P m -3 m'
_space_group_IT_number 221
_space_group_name_Hall '-P 4 2 3'
_cell_length_a 5.1403
_cell_length_b 5.1403
_cell_length_c 5.1403
_cell_angle_alpha 90.00
_cell_angle_beta 90.00
_cell_angle_gamma 90.00
loop_
_atom_site_label
_atom_site_type_symbol
_atom_site_fract_x
_atom_site_fract_y
_atom_site_fract_z
Ag1 Ag 0.0000 0.0000 0.5000
Sn1 Sn 0.0000 0.0000 0.0000
F1 F 0.5000 0.5000 0.5000
```

# 6
TaAgRu2: PBEsol geometry, meta-GGA SCAN.

Values from the calculation:
- Formation energy: 0.42 eV per atom
- M_tot: 1.7 μB/f.u.
- Final energy: -663.632 eV for the cell shown
- Energy relative to the lowest polymorph listed for this composition: 290 meV/atom
- Density: 13.404 g cm⁻³

CIF file:
```
data_TaAgRu2
_chemical_formula_sum 'Ta4 Ag4 Ru8'
_space_group_name_H-M_alt 'F -4 3 m'
_space_group_IT_number 216
_space_group_name_Hall 'F -4 2 3'
_cell_length_a 6.2426
_cell_length_b 6.2426
_cell_length_c 6.2426
_cell_angle_alpha 90.00
_cell_angle_beta 90.00
_cell_angle_gamma 90.00
loop_
_atom_site_label
_atom_site_type_symbol
_atom_site_fract_x
_atom_site_fract_y
_atom_site_fract_z
Ta1 Ta 0.0000 0.0000 0.0000
Ag1 Ag 0.2500 0.2500 0.2500
Ru1 Ru 0.0000 0.0000 0.5000
Ru2 Ru 0.2500 0.2500 0.7500
```

# 7
Li4Co5SnO12: PBEsol geometry, meta-GGA SCAN.

Values from the calculation:
- ΔE_f (raw): -1.73 eV per atom
- M_tot: 1.1 μB/f.u.
- Final energy: -489.616 eV for the cell shown
- Density: 5.224 g cm⁻³

CIF file:
```
data_Li4Co5SnO12
_chemical_formula_sum 'Li8 Co10 Sn2 O24'
_space_group_name_H-M_alt 'C 1 2/m 1'
_space_group_IT_number 12
_space_group_name_Hall '-C 2y'
_cell_length_a 4.9403
_cell_length_b 8.5488
_cell_length_c 9.6713
_cell_angle_alpha 90.00
_cell_angle_beta 99.79
_cell_angle_gamma 90.00
loop_
_atom_site_label
_atom_site_type_symbol
_atom_site_fract_x
_atom_site_fract_y
_atom_site_fract_z
Li1 Li 0.0879 0.1662 0.2599
Co1 Co 0.0000 0.0000 0.5000
Co2 Co 0.0000 0.1667 0.0000
Co3 Co 0.0000 0.3352 0.5000
Sn1 Sn 0.0000 0.5000 0.0000
O1 O 0.1041 0.0000 0.8894
O2 O 0.1428 0.3204 0.8893
O3 O 0.1969 0.1694 0.5989
O4 O 0.2058 0.5000 0.6005
```

# 8
Mg2VBiO6: PBEsol geometry, meta-GGA SCAN.

Values from the calculation:
- ΔE_f (raw): -2.46 eV per atom
- M_tot: 0.0 μB/f.u.
- Final energy: -671.925 eV for the cell shown
- Energy relative to the lowest polymorph listed for this composition: 3 meV/atom
- Density: 5.062 g cm⁻³

CIF file:
```
data_Mg2VBiO6
_chemical_formula_sum 'Mg8 V4 Bi4 O24'
_space_group_name_H-M_alt 'C m c m'
_space_group_IT_number 63
_space_group_name_Hall '-C 2c 2'
_cell_length_a 7.9354
_cell_length_b 12.2739
_cell_length_c 5.4501
_cell_angle_alpha 90.00
_cell_angle_beta 90.00
_cell_angle_gamma 90.00
loop_
_atom_site_label
_atom_site_type_symbol
_atom_site_fract_x
_atom_site_fract_y
_atom_site_fract_z
Mg1 Mg 0.1920 0.0883 0.2500
V1 V 0.0000 0.1974 0.7500
Bi1 Bi 0.0000 0.4068 0.2500
O1 O 0.0000 0.1152 0.0088
O2 O 0.1695 0.5000 0.0000
O3 O 0.1750 0.2753 0.7500
```